Record 1
In2CuSe4 | PBE | relaxed

Cell and atoms, written as POSCAR:
```
In2CuSe4
1.0
-0.916 6.111 1.403
-5.695 -1.084 1.004
1.208 -1.116 5.649
Se In Cu
4 2 1
direct
0.256 0.232 0.768
0.744 0.232 0.232
0.744 0.768 0.768
0.256 0.768 0.232
0.000 0.500 0.000
0.000 0.000 0.500
0.000 0.000 0.000
```

Results
As for the total energy: -3.64 eV/atom. Its mass density is 4611 kg/m³. The value obtained for the formation energy without anion corrections is -190 kJ/mol of formula units. For the density of states at the Fermi level, the calculation gives 7.6 states/eV/f.u.

=====

Record 2
InCuSe | PBE | relaxed

Cell and atoms, written as POSCAR:
```
InCuSe
1.0
-2.011 1.376 -3.488
-4.922 -0.869 2.487
2.827 6.070 0.771
In Se Cu
2 2 2
direct
0.328 0.201 0.585
0.827 0.532 0.056
0.829 0.573 0.486
0.327 0.863 0.085
0.329 0.754 0.689
0.829 0.039 0.754
```

Results
As for the total energy: -3.64 eV/atom. Its mass density is 6008 kg/m³. For the energy above the most stable polymorph in this dataset, the calculation gives 0.000 eV/atom. The value obtained for the formation energy without anion corrections is -59 kJ/mol of formula units. For the density of states at the Fermi level, the calculation gives 0.4 states/eV/f.u.

=====

Record 3
InCuSe | PBE | relaxed

Cell and atoms, written as POSCAR:
```
InCuSe
1.0
-1.630 2.681 3.261
-1.718 -1.815 3.773
2.224 0.402 3.920
Cu In Se
1 1 1
direct
0.750 0.750 0.750
0.000 0.000 0.000
0.500 0.500 0.500
```

Results
As for the total energy: -3.49 eV/atom. Its mass density is 6520 kg/m³. For the energy above the most stable polymorph in this dataset, the calculation gives 0.155 eV/atom. The value obtained for the formation energy without anion corrections is -14 kJ/mol of formula units. For the density of states at the Fermi level, the calculation gives 0.1 states/eV/f.u.

=====

Q: formation energy without anion corrections of number 3 (InCuSe)?
A: -14 kJ/mol of formula units